# 1
Here is Be2CdPb at its PBEsol-relaxed geometry from the Alexandria database. Energies are from SCAN.

* DOS at the Fermi energy: 1.45 states/eV/f.u.
* formation enthalpy at 0 K: 0.613 eV/atom
* energy relative to the lowest polymorph listed for this composition: 0 meV/atom

a b c (Å): 2.981 3.748 6.301
angles (deg): 90.00 90.00 90.00
Element x y z (fractional)
Be  0.000  0.000  0.183
Be  0.000  0.000  0.817
Pb  0.500  0.500  0.500
Cd  0.500  0.500  0.000



# 2
Here is ZnCu2Ni at its PBEsol-relaxed geometry from the Alexandria database. Energies are from SCAN.

* DOS at the Fermi energy: 1.81 states/eV/f.u.
* formation enthalpy at 0 K: -0.054 eV/atom

a b c (Å): 4.012 4.012 4.012
angles (deg): 60.00 60.00 60.00
Element x y z (fractional)
Zn  0.250  0.250  0.250
Cu  0.000  0.000  0.000
Cu  0.750  0.750  0.750
Ni  0.500  0.500  0.500



# 3
Here is ReNiTe at its PBEsol-relaxed geometry from the Alexandria database. Energies are from SCAN.

* DOS at the Fermi energy: 3.67 states/eV/f.u.
* E_form (uncorrected): 688 meV per atom
* energy relative to the lowest polymorph listed for this composition: 0 meV/atom

a b c (Å): 3.058 3.058 5.909
angles (deg): 90.00 90.00 120.00
Element x y z (fractional)
Ni  0.000  0.000  0.991
Te  0.333  0.667  0.328
Re  0.667  0.333  0.681



# 4
Here is TcAs5 at its PBEsol-relaxed geometry from the Alexandria database. Energies are from SCAN.

* DOS at the Fermi energy: 3.97 states/eV/f.u.
* formation enthalpy at 0 K: 0.869 eV/atom

a b c (Å): 5.379 5.379 5.379
angles (deg): 60.00 60.00 60.00
Element x y z (fractional)
As  0.625  0.625  0.125
As  0.625  0.125  0.625
As  0.125  0.625  0.625
As  0.250  0.250  0.250
Tc  0.000  0.000  0.000
As  0.625  0.625  0.625



# 5
Here is RbMn2SeO at its PBEsol-relaxed geometry from the Alexandria database. Energies are from SCAN.

* DOS at the Fermi energy: 2.35 states/eV/f.u.
* E_form (uncorrected): -468 meV per atom

a b c (Å): 4.128 4.128 6.368
angles (deg): 90.00 90.00 90.00
Element x y z (fractional)
Se  0.000  0.000  0.500
Mn  0.500  0.000  0.000
Mn  0.000  0.500  0.000
Rb  0.500  0.500  0.500
O  0.000  0.000  0.000



# 6
Here is Y2ReSCl at its PBEsol-relaxed geometry from the Alexandria database. Energies are from SCAN.

* DOS at the Fermi energy: 5.11 states/eV/f.u.
* E_form (uncorrected): 371 meV per atom

a b c (Å): 4.478 5.163 5.163
angles (deg): 90.00 90.00 90.00
Element x y z (fractional)
Re  0.500  0.500  0.500
Cl  0.500  0.000  0.000
Y  0.000  0.000  0.500
Y  0.000  0.500  0.000
S  0.000  0.000  0.000



# 7
Here is ZrScBe2 at its PBEsol-relaxed geometry from the Alexandria database. Energies are from SCAN.

* DOS at the Fermi energy: 3.22 states/eV/f.u.
* formation enthalpy at 0 K: -0.080 eV/atom
* energy relative to the lowest polymorph listed for this composition: 0 meV/atom

a b c (Å): 3.148 4.418 4.418
angles (deg): 90.00 90.00 90.00
Element x y z (fractional)
Zr  0.500  0.000  0.000
Be  0.000  0.000  0.500
Be  0.000  0.500  0.000
Sc  0.500  0.500  0.500



# 8
Here is SrPt2 at its PBEsol-relaxed geometry from the Alexandria database. Energies are from SCAN.

* DOS at the Fermi energy: 2.13 states/eV/f.u.
* formation enthalpy at 0 K: -0.989 eV/atom

a b c (Å): 5.482 5.482 5.482
angles (deg): 60.00 60.00 60.00
Element x y z (fractional)
Pt  0.625  0.625  0.625
Pt  0.125  0.625  0.625
Sr  0.000  0.000  0.000
Pt  0.625  0.125  0.625
Sr  0.250  0.250  0.250
Pt  0.625  0.625  0.125



# 9
Here is ScZn2Ag2 at its PBEsol-relaxed geometry from the Alexandria database. Energies are from SCAN.

* DOS at the Fermi energy: 1.78 states/eV/f.u.
* formation enthalpy at 0 K: -0.136 eV/atom

a b c (Å): 3.677 3.677 6.970
angles (deg): 105.29 105.29 90.00
Element x y z (fractional)
Ag  0.603  0.603  0.207
Ag  0.397  0.397  0.793
Zn  0.750  0.250  0.500
Zn  0.250  0.750  0.500
Sc  0.000  0.000  0.000



# 10
Here is Fe2SiBr at its PBEsol-relaxed geometry from the Alexandria database. Energies are from SCAN.

* DOS at the Fermi energy: 2.58 states/eV/f.u.
* E_form (uncorrected): 701 meV per atom
* energy relative to the lowest polymorph listed for this composition: 563 meV/atom

a b c (Å): 2.851 3.882 5.209
angles (deg): 90.00 90.00 90.00
Element x y z (fractional)
Si  0.500  0.500  0.000
Fe  0.500  0.000  0.500
Br  0.000  0.500  0.500
Fe  0.000  0.000  0.000



# 11
Here is LaHfTc2Rh at its PBEsol-relaxed geometry from the Alexandria database. Energies are from SCAN.

* DOS at the Fermi energy: 6.91 states/eV/f.u.
* formation enthalpy at 0 K: 1.143 eV/atom

a b c (Å): 4.721 4.721 4.972
angles (deg): 90.00 90.00 90.00
Element x y z (fractional)
Hf  0.500  0.500  0.500
Tc  0.500  0.000  0.000
Tc  0.000  0.500  0.000
La  0.000  0.000  0.500
Rh  0.000  0.000  0.000



# 12
Here is MnIr2W at its PBEsol-relaxed geometry from the Alexandria database. Energies are from SCAN.

* DOS at the Fermi energy: 3.05 states/eV/f.u.
* formation enthalpy at 0 K: -0.395 eV/atom
* energy relative to the lowest polymorph listed for this composition: 5 meV/atom

a b c (Å): 2.709 3.765 5.399
angles (deg): 90.00 90.00 90.00
Element x y z (fractional)
Ir  0.000  0.000  0.241
Mn  0.500  0.500  0.000
W  0.500  0.500  0.500
Ir  0.000  0.000  0.759



DOS at the Fermi energy of number 4 (TcAs5)? 3.97 states/eV/f.u.